Below is a geometry-optimized CrCdS2N structure, with properties calculated at the GGA-PBE level.

a = 4.9663 Å, b = 4.9663 Å, c = 4.0151 Å
α = 90.00°, β = 90.00°, γ = 90.00°
Last column: nearest neighbours and their distance in Å.
Fractional positions:
1 Cr 0.0000 0.0000 0.0000  8 S 3.19, 4 N 3.51
2 Cd 0.5000 0.5000 0.5000  2 N 2.01
3 S 0.0000 0.5000 0.5000  2 Cd 2.48
4 S 0.5000 0.0000 0.5000  2 Cd 2.48
5 N 0.5000 0.5000 0.0000  2 Cd 2.01

energy above the lowest structure with this stoichiometry	1.748	eV/atom
total magnetization	0.70	μB/cell
crystal system	tetragonal
energy relative to the elements, uncorrected	8.89	eV/f.u.


Below is a geometry-optimized Sc2CrCdN structure, with properties calculated at the GGA-PBE level.

a = 4.5607 Å, b = 4.5607 Å, c = 3.8196 Å
α = 90.00°, β = 90.00°, γ = 90.00°
Last column: nearest neighbours and their distance in Å.
Fractional positions:
1 Sc 0.0000 0.5000 0.0000  2 N 2.28
2 Sc 0.5000 0.0000 0.0000  2 N 2.28
3 Cr 0.0000 0.0000 0.5000  2 N 1.91
4 Cd 0.5000 0.5000 0.5000  8 Sc 2.97, 4 Cr 3.22
5 N 0.0000 0.0000 0.0000  2 Cr 1.91

total magnetization	0.87	μB/cell
crystal system	tetragonal
energy relative to the elements, uncorrected	-3.46	eV/f.u.


Below is a geometry-optimized CrCdSe2N structure, with properties calculated at the GGA-PBE level.

a = 5.2198 Å, b = 5.2198 Å, c = 4.0165 Å
α = 90.00°, β = 90.00°, γ = 90.00°
Last column: nearest neighbours and their distance in Å.
Fractional positions:
1 Cr 0.0000 0.0000 0.0000  8 Se 3.29
2 Cd 0.5000 0.5000 0.5000  2 N 2.01
3 Se 0.0000 0.5000 0.5000  2 Cd 2.61
4 Se 0.5000 0.0000 0.5000  2 Cd 2.61
5 N 0.5000 0.5000 0.0000  2 Cd 2.01

energy above the lowest structure with this stoichiometry	1.678	eV/atom
total magnetization	0.28	μB/cell
crystal system	tetragonal
energy relative to the elements, uncorrected	8.53	eV/f.u.


Below is a geometry-optimized CrCdSe2N structure, with properties calculated at the GGA-PBE level.

a = 5.0847 Å, b = 5.0847 Å, c = 3.5489 Å
α = 90.00°, β = 90.00°, γ = 90.00°
Last column: nearest neighbours and their distance in Å.
Fractional positions:
1 Cr 0.0000 0.0000 0.0000  2 N 1.77
2 Cd 0.5000 0.5000 0.5000  8 Se 3.10
3 Se 0.0000 0.5000 0.0000  2 Cr 2.54
4 Se 0.5000 0.0000 0.0000  2 Cr 2.54
5 N 0.0000 0.0000 0.5000  2 Cr 1.77

energy above the lowest structure with this stoichiometry	0.000	eV/atom
total magnetization	1.08	μB/cell
crystal system	tetragonal
energy relative to the elements, uncorrected	0.14	eV/f.u.


Below is a geometry-optimized Sr2CrCdN structure, with properties calculated at the GGA-PBE level.

a = 5.5982 Å, b = 5.5982 Å, c = 3.8191 Å
α = 90.00°, β = 90.00°, γ = 90.00°
Last column: nearest neighbours and their distance in Å.
Fractional positions:
1 Sr 0.0000 0.5000 0.0000  2 N 2.80
2 Sr 0.5000 0.0000 0.0000  2 N 2.80
3 Cr 0.0000 0.0000 0.5000  2 N 1.91
4 Cd 0.5000 0.5000 0.5000  8 Sr 3.39
5 N 0.0000 0.0000 0.0000  2 Cr 1.91

total magnetization	2.70	μB/cell
crystal system	tetragonal
energy relative to the elements, uncorrected	-1.76	eV/f.u.


Below is a geometry-optimized CrCdTeN2 structure, with properties calculated at the GGA-PBE level.

a = 3.8823 Å, b = 3.8823 Å, c = 5.7111 Å
α = 90.00°, β = 90.00°, γ = 90.00°
Last column: nearest neighbours and their distance in Å.
Fractional positions:
1 Cr 0.0000 0.0000 0.0000  4 N 1.94
2 Cd 0.5000 0.5000 0.5000  4 Te 2.75
3 Te 0.0000 0.0000 0.5000  4 Cd 2.75, 2 Cr 2.86
4 N 0.0000 0.5000 0.0000  2 Cr 1.94
5 N 0.5000 0.0000 0.0000  2 Cr 1.94

energy above the lowest structure with this stoichiometry	0.000	eV/atom
total magnetization	0.11	μB/cell
crystal system	tetragonal
energy relative to the elements, uncorrected	2.73	eV/f.u.


Below is a geometry-optimized CrCdTeN2 structure, with properties calculated at the GGA-PBE level.

a = 4.2194 Å, b = 4.2194 Å, c = 6.5468 Å
α = 90.00°, β = 90.00°, γ = 90.00°
Last column: nearest neighbours and their distance in Å.
Fractional positions:
1 Cr 0.0000 0.0000 0.0000  4 Te 2.98
2 Cd 0.5000 0.5000 0.5000  4 N 2.11
3 Te 0.5000 0.5000 0.0000  4 Cr 2.98, 2 Cd 3.27
4 N 0.0000 0.5000 0.5000  2 Cd 2.11
5 N 0.5000 0.0000 0.5000  2 Cd 2.11

energy above the lowest structure with this stoichiometry	1.216	eV/atom
total magnetization	7.74	μB/cell
crystal system	tetragonal
energy relative to the elements, uncorrected	8.80	eV/f.u.


Below is a geometry-optimized NaCr3Cd structure, with properties calculated at the GGA-PBE level.

a = 5.2417 Å, b = 5.2417 Å, c = 5.2417 Å
α = 90.00°, β = 90.00°, γ = 90.00°
Last column: nearest neighbours and their distance in Å.
Fractional positions:
1 Na 0.0000 0.0000 0.0000  12 Cr 3.71
2 Cr 0.0000 0.5000 0.5000  2 Cd 2.62
3 Cr 0.5000 0.0000 0.5000  2 Cd 2.62
4 Cr 0.5000 0.5000 0.0000  2 Cd 2.62
5 Cd 0.5000 0.5000 0.5000  6 Cr 2.62

formation energy from the elements	1.378	eV per atom
total magnetization	13.86	μB/cell
crystal system	cubic


Below is a geometry-optimized Na2CrCd structure, with properties calculated at the GGA-PBE level.

a = 6.7028 Å, b = 6.7028 Å, c = 6.7028 Å
α = 101.02°, β = 101.02°, γ = 128.15°
Last column: nearest neighbours and their distance in Å.
Fractional positions:
1 Na 0.1207 0.6250 0.9957  2 Na 2.93, 2 Cd 3.08, 2 Cr 3.13
2 Na 0.3750 0.3707 0.4957  2 Na 2.93, 2 Cd 3.08, 2 Cr 3.13
3 Na 0.6293 0.1250 0.0043  2 Na 2.93, 2 Cd 3.08, 2 Cr 3.13
4 Na 0.8750 0.8793 0.5043  2 Na 2.93, 2 Cd 3.08, 2 Cr 3.13
5 Cr 0.2500 0.7500 0.5000  2 Cd 2.93, 4 Na 3.13
6 Cr 0.5000 0.5000 0.0000  2 Cd 2.93, 4 Na 3.13
7 Cd 0.0000 0.0000 0.0000  2 Cr 2.93, 4 Na 3.08
8 Cd 0.7500 0.2500 0.5000  2 Cr 2.93, 4 Na 3.08

formation energy from the elements	0.557	eV per atom
energy above the lowest structure with this stoichiometry	0.060	eV/atom
total magnetization	9.59	μB/cell
crystal system	tetragonal


Below is a geometry-optimized Na2CrCd structure, with properties calculated at the GGA-PBE level.

a = 5.2212 Å, b = 5.2212 Å, c = 5.2212 Å
α = 60.00°, β = 60.00°, γ = 60.00°
Last column: nearest neighbours and their distance in Å.
Fractional positions:
1 Na 0.2500 0.2500 0.2500  4 Cd 3.20, 4 Cr 3.20
2 Na 0.7500 0.7500 0.7500  4 Cd 3.20, 4 Cr 3.20
3 Cr 0.0000 0.0000 0.0000  8 Na 3.20
4 Cd 0.5000 0.5000 0.5000  8 Na 3.20

formation energy from the elements	0.497	eV per atom
energy above the lowest structure with this stoichiometry	0.000	eV/atom
total magnetization	4.85	μB/cell
crystal system	cubic


Below is a geometry-optimized NaCr2Cd structure, with properties calculated at the GGA-PBE level.

a = 6.3451 Å, b = 6.3451 Å, c = 6.3451 Å
α = 102.90°, β = 102.90°, γ = 123.61°
Last column: nearest neighbours and their distance in Å.
Fractional positions:
1 Na 0.0000 0.0000 0.0000  2 Cd 3.00, 4 Cr 3.02
2 Na 0.7500 0.2500 0.5000  2 Cd 3.00, 4 Cr 3.02
3 Cr 0.1468 0.1250 0.5218  2 Cd 2.78, 2 Na 3.02, 2 Cr 3.02
4 Cr 0.3750 0.8532 0.9782  2 Cd 2.78, 2 Na 3.02, 2 Cr 3.02
5 Cr 0.6032 0.6250 0.4782  2 Cd 2.78, 2 Na 3.02, 2 Cr 3.02
6 Cr 0.8750 0.3968 0.0218  2 Cd 2.78, 2 Na 3.02, 2 Cr 3.02
7 Cd 0.2500 0.7500 0.5000  4 Cr 2.78, 2 Na 3.00
8 Cd 0.5000 0.5000 0.0000  4 Cr 2.78, 2 Na 3.00

formation energy from the elements	1.016	eV per atom
energy above the lowest structure with this stoichiometry	0.213	eV/atom
total magnetization	18.16	μB/cell
crystal system	tetragonal


Below is a geometry-optimized NaCr2Cd structure, with properties calculated at the GGA-PBE level.

a = 4.8495 Å, b = 4.8495 Å, c = 4.8495 Å
α = 60.00°, β = 60.00°, γ = 60.00°
Last column: nearest neighbours and their distance in Å.
Fractional positions:
1 Na 0.0000 0.0000 0.0000  8 Cr 2.97
2 Cr 0.2500 0.2500 0.2500  4 Cd 2.97, 4 Na 2.97
3 Cr 0.7500 0.7500 0.7500  4 Cd 2.97, 4 Na 2.97
4 Cd 0.5000 0.5000 0.5000  8 Cr 2.97

formation energy from the elements	0.803	eV per atom
energy above the lowest structure with this stoichiometry	0.000	eV/atom
total magnetization	8.53	μB/cell
crystal system	cubic


no.,final energy (eV/atom)
1,-3.65
2,-7.00
3,-3.46
4,-5.14
5,-4.80
6,-5.52
7,-4.31
8,-4.84
9,-2.74
10,-2.80
11,-4.35
12,-4.57